Hf2CSe | PBE | relaxed

```
Hf2CSe
1.0
0.000 3.139 3.139
3.139 0.000 3.139
3.139 3.139 0.000
Hf C Se
2 1 1
Direct
0.250 0.250 0.250
0.750 0.750 0.750
0.000 0.000 0.000
0.500 0.500 0.500
```

Computed properties:
**Space group**: Fm-3m (225)

=====

Hf2CSe | PBE | relaxed

```
Hf2CSe
1.0
1.709 0.987 6.300
-1.709 0.987 6.300
0.000 -1.974 6.300
Hf C Se
2 1 1
Direct
0.000 0.000 0.000
0.206 0.206 0.206
0.607 0.607 0.607
0.437 0.437 0.437
```

Computed properties:
**Space group**: R3m (160)

=====

Hf3CSe3 | PBE | relaxed

```
Hf3CSe3
1.0
7.469 0.000 0.000
0.000 3.552 0.000
-0.123 0.000 10.308
Hf C Se
6 2 6
Direct
0.095 0.250 0.393
0.116 0.250 0.840
0.318 0.750 0.619
0.682 0.250 0.381
0.884 0.750 0.160
0.905 0.750 0.607
0.118 0.250 0.620
0.882 0.750 0.380
0.144 0.250 0.126
0.374 0.750 0.873
0.381 0.750 0.365
0.619 0.250 0.635
0.626 0.250 0.127
0.856 0.750 0.874
```

Computed properties:
**Space group**: P2_1/m (11)

=====

Hf4CSe | PBE | relaxed

```
Hf4CSe
1.0
3.547 -6.601 0.000
3.547 6.601 0.000
-3.314 0.000 4.938
Hf C Se
8 2 2
Direct
0.014 0.401 0.749
0.141 0.266 0.209
0.266 0.141 0.709
0.401 0.014 0.249
0.599 0.986 0.751
0.734 0.859 0.291
0.859 0.734 0.791
0.986 0.599 0.251
0.060 0.940 0.250
0.940 0.060 0.750
0.427 0.573 0.750
0.573 0.427 0.250
```

Computed properties:
**Space group**: C2/c (15)

=====

HfC3Se | PBE | relaxed

```
HfC3Se
1.0
4.356 0.000 0.000
0.000 4.356 0.000
0.000 0.000 4.356
Hf C Se
1 3 1
Direct
0.000 0.000 0.000
0.000 0.000 0.500
0.000 0.500 0.000
0.500 0.000 0.000
0.500 0.500 0.500
```

Computed properties:
**Space group**: Pm-3m (221)
**Offset from the most stable computed form**: 0.2712 eV/atom

=====

Hf3CSe | PBE | relaxed

```
Hf3CSe
1.0
4.498 0.000 0.000
0.000 4.498 0.000
0.000 0.000 4.498
Hf C Se
3 1 1
Direct
0.000 0.000 0.500
0.000 0.500 0.000
0.500 0.000 0.000
0.000 0.000 0.000
0.500 0.500 0.500
```

Computed properties:
**Space group**: Pm-3m (221)
**Offset from the most stable computed form**: 0.5942 eV/atom

=====

Hf3CSe | PBE | relaxed

```
Hf3CSe
1.0
6.167 -5.147 0.000
6.167 5.147 0.000
-0.883 0.000 5.808
Hf C Se
12 4 4
Direct
0.002 0.186 0.445
0.160 0.646 0.050
0.186 0.002 0.945
0.317 0.485 0.553
0.354 0.840 0.450
0.485 0.317 0.053
0.515 0.683 0.947
0.646 0.160 0.550
0.683 0.515 0.447
0.814 0.998 0.055
0.840 0.354 0.950
0.998 0.814 0.555
0.257 0.743 0.750
0.423 0.577 0.250
0.577 0.423 0.750
0.743 0.257 0.250
0.163 0.327 0.835
0.327 0.163 0.335
0.673 0.837 0.665
0.837 0.673 0.165
```

Computed properties:
**Space group**: C2/c (15)
**Offset from the most stable computed form**: 0.0000 eV/atom

=====

HfC3Se | PBE | relaxed

```
HfC3Se
1.0
3.870 0.000 0.000
0.000 3.870 0.000
0.000 0.000 3.870
Hf C Se
1 3 1
Direct
0.000 0.000 0.000
0.000 0.500 0.500
0.500 0.000 0.500
0.500 0.500 0.000
0.500 0.500 0.500
```

Computed properties:
**Space group**: Pm-3m (221)
**Offset from the most stable computed form**: 0.0000 eV/atom

=====

Hf6CSe2 | PBE | relaxed

```
Hf6CSe2
1.0
5.886 0.000 0.000
0.000 6.569 0.000
-5.706 0.000 8.613
Hf C Se
12 2 4
Direct
0.103 0.019 0.246
0.103 0.481 0.746
0.197 0.691 0.050
0.197 0.809 0.550
0.390 0.185 0.047
0.390 0.315 0.547
0.610 0.685 0.453
0.610 0.815 0.953
0.803 0.191 0.450
0.803 0.309 0.950
0.897 0.519 0.254
0.897 0.981 0.754
0.000 0.000 0.000
0.000 0.500 0.500
0.325 0.121 0.756
0.325 0.379 0.256
0.675 0.621 0.744
0.675 0.879 0.244
```

Computed properties:
**Space group**: P2_1/c (14)

=====

HfCSe | PBE | relaxed

```
HfCSe
1.0
3.240 -1.793 0.000
3.240 1.793 0.000
-2.675 0.000 10.097
Hf C Se
2 2 2
Direct
0.185 0.185 0.348
0.815 0.815 0.652
0.443 0.443 0.547
0.557 0.557 0.453
0.220 0.220 0.816
0.780 0.780 0.184
```

Computed properties:
**Space group**: C2/m (12)

=====

Hf2C4Se | PBE | relaxed

```
Hf2C4Se
1.0
-1.916 1.916 5.790
1.916 -1.916 5.790
1.916 1.916 -5.790
Hf C Se
2 4 1
Direct
0.142 0.142 0.000
0.858 0.858 0.000
0.000 0.500 0.500
0.326 0.326 0.000
0.500 0.000 0.500
0.674 0.674 0.000
0.500 0.500 0.000
```

Computed properties:
**Space group**: I4/mmm (139)

=====

Hf4CSe5 | PBE | relaxed

```
Hf4CSe5
1.0
8.105 -1.794 0.000
8.105 1.794 0.000
-1.558 0.000 7.235
Hf C Se
4 1 5
Direct
0.001 0.001 0.283
0.355 0.355 0.429
0.645 0.645 0.571
0.999 0.999 0.717
0.500 0.500 0.500
0.165 0.165 0.836
0.170 0.170 0.319
0.500 0.500 0.000
0.830 0.830 0.681
0.835 0.835 0.164
```

Computed properties:
**Space group**: C2/m (12)

=====

HfC2Se | PBE | relaxed

```
HfC2Se
1.0
-2.496 2.496 5.053
2.496 -2.496 5.053
2.496 2.496 -5.053
Hf C Se
2 4 2
Direct
0.000 0.000 0.000
0.750 0.250 0.500
0.131 0.625 0.006
0.375 0.381 0.506
0.619 0.125 0.994
0.875 0.869 0.494
0.250 0.750 0.500
0.500 0.500 0.000
```

Computed properties:
**Space group**: I-42d (122)

=====

Hf6CSe | PBE | relaxed

```
Hf6CSe
1.0
2.976 -4.857 0.000
2.976 4.857 0.000
-1.828 0.000 5.646
Hf C Se
6 1 1
Direct
0.036 0.380 0.228
0.241 0.241 0.780
0.380 0.036 0.228
0.620 0.964 0.772
0.759 0.759 0.220
0.964 0.620 0.772
0.000 0.000 0.000
0.500 0.500 0.500
```

Computed properties:
**Space group**: C2/m (12)

=====

HfTcC2Se | PBE | relaxed

```
HfTcC2Se
1.0
4.179 0.000 0.000
0.000 4.179 0.000
0.000 0.000 5.249
Hf Tc C Se
1 1 2 1
Direct
0.000 0.000 0.000
0.000 0.000 0.500
0.000 0.500 0.000
0.500 0.000 0.000
0.500 0.500 0.500
```

Computed properties:
**Space group**: P4/mmm (123)

=====

HfZrCSe | PBE | relaxed

```
HfZrCSe
1.0
1.723 0.995 6.334
-1.723 0.995 6.334
0.000 -1.990 6.334
Hf Zr C Se
1 1 1 1
Direct
0.000 0.000 0.000
0.205 0.205 0.205
0.609 0.609 0.609
0.435 0.435 0.435
```

Computed properties:
**Space group**: R3m (160)

=====

HfSi2C | PBE | relaxed

```
HfSi2C
1.0
-3.074 3.074 3.027
3.074 -3.074 3.027
3.074 3.074 -3.027
Hf Si C
2 4 2
Direct
0.000 0.000 0.000
0.750 0.250 0.500
0.224 0.625 0.099
0.375 0.474 0.599
0.526 0.125 0.901
0.875 0.776 0.401
0.250 0.750 0.500
0.500 0.500 0.000
```

Computed properties:
**Space group**: I-42d (122)

=====

HfSi3C | PBE | relaxed

```
HfSi3C
1.0
4.110 0.000 0.000
0.000 4.110 0.000
0.000 0.000 4.110
Hf Si C
1 3 1
Direct
0.000 0.000 0.000
0.000 0.500 0.500
0.500 0.000 0.500
0.500 0.500 0.000
0.500 0.500 0.500
```

Computed properties:
**Space group**: Pm-3m (221)
**Offset from the most stable computed form**: 0.0000 eV/atom

=====

HfSi3C | PBE | relaxed

```
HfSi3C
1.0
5.070 0.000 0.000
0.000 5.070 0.000
0.000 0.000 5.070
Hf Si C
1 3 1
Direct
0.000 0.000 0.000
0.000 0.000 0.500
0.000 0.500 0.000
0.500 0.000 0.000
0.500 0.500 0.500
```

Computed properties:
**Space group**: Pm-3m (221)
**Offset from the most stable computed form**: 1.5385 eV/atom

=====

HfSiC2 | PBE | relaxed

```
HfSiC2
1.0
-2.651 2.651 3.373
2.651 -2.651 3.373
2.651 2.651 -3.373
Hf Si C
2 2 4
Direct
0.000 0.000 0.000
0.750 0.250 0.500
0.250 0.750 0.500
0.500 0.500 0.000
0.178 0.625 0.053
0.375 0.428 0.553
0.572 0.125 0.947
0.875 0.822 0.447
```

Computed properties:
**Space group**: I-42d (122)

=====

Hf6SiC2 | PBE | relaxed

```
Hf6SiC2
1.0
5.508 -2.225 0.000
5.508 2.225 0.000
-3.849 0.000 6.754
Hf Si C
6 1 2
Direct
0.026 0.026 0.197
0.307 0.307 0.917
0.342 0.342 0.434
0.658 0.658 0.566
0.693 0.693 0.083
0.974 0.974 0.803
0.000 0.000 0.500
0.184 0.184 0.088
0.816 0.816 0.912
```

Computed properties:
**Space group**: C2/m (12)

=====

Hf5Si2C | PBE | relaxed

```
Hf5Si2C
1.0
2.228 -6.945 0.000
2.228 6.945 0.000
0.000 0.000 10.913
Hf Si C
10 4 2
Direct
0.090 0.910 0.603
0.090 0.910 0.897
0.284 0.716 0.250
0.305 0.695 0.571
0.305 0.695 0.929
0.695 0.305 0.071
0.695 0.305 0.429
0.716 0.284 0.750
0.910 0.090 0.103
0.910 0.090 0.397
0.101 0.899 0.143
0.101 0.899 0.357
0.899 0.101 0.643
0.899 0.101 0.857
0.199 0.801 0.750
0.801 0.199 0.250
```

Computed properties:
**Space group**: Cmcm (63)

=====

Hf6SiC | PBE | relaxed

```
Hf6SiC
1.0
2.900 1.674 5.554
-2.900 1.674 5.554
0.000 -3.349 5.554
Hf Si C
6 1 1
Direct
0.091 0.729 0.450
0.271 0.550 0.909
0.450 0.091 0.729
0.550 0.909 0.271
0.729 0.450 0.091
0.909 0.271 0.550
0.000 0.000 0.000
0.500 0.500 0.500
```

Computed properties:
**Space group**: R-3 (148)

=====

Hf6Si2C | PBE | relaxed

```
Hf6Si2C
1.0
5.774 0.000 0.000
0.000 5.774 0.000
0.000 0.000 11.105
Hf Si C
12 4 2
Direct
0.192 0.192 0.147
0.192 0.192 0.853
0.219 0.219 0.500
0.281 0.719 0.000
0.308 0.692 0.353
0.308 0.692 0.647
0.692 0.308 0.353
0.692 0.308 0.647
0.719 0.281 0.000
0.781 0.781 0.500
0.808 0.808 0.147
0.808 0.808 0.853
0.000 0.000 0.331
0.000 0.000 0.669
0.500 0.500 0.169
0.500 0.500 0.831
0.000 0.000 0.000
0.500 0.500 0.500
```

Computed properties:
**Space group**: P4_2/mnm (136)

=====

Number 1: E_form (uncorrected) 0.017 eV per atom, D(E_F) 4.5 states/eV per cell. Number 2: E_form (uncorrected) -1.154 eV per atom, D(E_F) 0.3 states/eV per cell. Number 3: E_form (uncorrected) -1.225 eV per atom, D(E_F) 2.6 states/eV per cell. Number 4: E_form (uncorrected) -0.542 eV per atom, D(E_F) 8.5 states/eV per cell. Number 5: E_form (uncorrected) 2.332 eV per atom, D(E_F) 3.7 states/eV per cell. Number 6: E_form (uncorrected) -0.182 eV per atom, D(E_F) 9.5 states/eV per cell. Number 7: E_form (uncorrected) -0.776 eV per atom, D(E_F) 9.1 states/eV per cell. Number 8: E_form (uncorrected) 2.061 eV per atom, D(E_F) 2.8 states/eV per cell. Number 9: E_form (uncorrected) -0.660 eV per atom, D(E_F) 9.4 states/eV per cell. Number 10: E_form (uncorrected) -0.626 eV per atom, D(E_F) 3.0 states/eV per cell. Number 11: E_form (uncorrected) 1.259 eV per atom, D(E_F) 3.9 states/eV per cell. Number 12: E_form (uncorrected) -1.216 eV per atom, D(E_F) 3.6 states/eV per cell. Number 13: E_form (uncorrected) 0.912 eV per atom, D(E_F) 1.2 states/eV per cell. Number 14: E_form (uncorrected) -0.371 eV per atom, D(E_F) 4.1 states/eV per cell. Number 15: E_form (uncorrected) 2.081 eV per atom, D(E_F) 10.4 states/eV per cell. Number 16: E_form (uncorrected) -1.178 eV per atom, D(E_F) 0.3 states/eV per cell. Number 17: E_form (uncorrected) 0.192 eV per atom, D(E_F) 4.3 states/eV per cell. Number 18: E_form (uncorrected) 0.623 eV per atom, D(E_F) 3.7 states/eV per cell. Number 19: E_form (uncorrected) 2.162 eV per atom, D(E_F) 3.6 states/eV per cell. Number 20: E_form (uncorrected) -0.070 eV per atom, D(E_F) 0.0 states/eV per cell. Number 21: E_form (uncorrected) -0.353 eV per atom, D(E_F) 6.7 states/eV per cell. Number 22: E_form (uncorrected) -0.090 eV per atom, D(E_F) 11.1 states/eV per cell. Number 23: E_form (uncorrected) -0.235 eV per atom, D(E_F) 4.9 states/eV per cell. Number 24: E_form (uncorrected) -0.243 eV per atom, D(E_F) 9.9 states/eV per cell.